Record 1
Entry from Alexandria via LeMat-Bulk: Li2Pu2Br2O5 after structural relaxation (GGA-PBE).

Cell lengths 13.200, 13.200, 13.200 Å; angles 161.74, 161.74, 25.93 degrees
Fractional coordinates of all 11 atoms:
Li 0.132 0.132 0.000
Li 0.868 0.868 0.000
Pu 0.420 0.420 0.000
Pu 0.580 0.580 0.000
Br 0.311 0.311 0.000
Br 0.689 0.689 0.000
O 0.090 0.590 0.500
O 0.410 0.910 0.500
O 0.500 0.500 0.000
O 0.590 0.090 0.500
O 0.910 0.410 0.500

Properties
* uncorrected formation energy: -2.217 eV/atom
* mass density: 5.457 g/cm³
* space group: No. 139

***

Record 2
Entry from Alexandria via LeMat-Bulk: Rb2LiBr6O after structural relaxation (GGA-PBE).

Cell lengths 7.540, 7.540, 7.540 Å; angles 114.19, 114.19, 100.39 degrees
Fractional coordinates of all 10 atoms:
Rb 0.250 0.750 0.500
Rb 0.750 0.250 0.500
Li 0.000 0.000 0.000
Br 0.222 0.222 0.445
Br 0.222 0.778 0.000
Br 0.287 0.287 0.000
Br 0.713 0.713 0.000
Br 0.778 0.222 0.000
Br 0.778 0.778 0.555
O 0.500 0.500 0.000

Properties
* uncorrected formation energy: -0.654 eV/atom
* mass density: 3.452 g/cm³
* space group: No. 139